The following is a PBE calculation of a geometry-optimized Ca2ScGe2Rh5 structure, from the Alexandria database.

Output
Electronic total energy (eV per atom): -6.33
Volume (Å³/cell): 351.5
ΔH_f (0 K) (eV/atom): -0.698
Crystal system: tetragonal

Cell and atoms, written as CIF:
```
data_Ca2ScGe2Rh5
_chemical_formula_sum 'Ca4 Sc2 Ge4 Rh10'
_space_group_name_H-M_alt 'P 4/m b m'
_space_group_IT_number 127
_space_group_name_Hall '-P 4 2ab'
_cell_length_a 10.093
_cell_length_b 10.093
_cell_length_c 3.450
_cell_angle_alpha 90.00
_cell_angle_beta 90.00
_cell_angle_gamma 90.00
loop_
_atom_site_label
_atom_site_type_symbol
_atom_site_fract_x
_atom_site_fract_y
_atom_site_fract_z
Ca1 Ca 0.173 0.327 0.000
Sc1 Sc 0.000 0.000 0.000
Ge1 Ge 0.126 0.626 0.000
Rh1 Rh 0.000 0.500 0.500
Rh2 Rh 0.067 0.791 0.500
```

***

The following is a PBE calculation of a geometry-optimized Ti4IrOs2 structure, from the Alexandria database.

Output
Electronic total energy (eV per atom): -9.51
Volume (Å³/cell): 230.9
ΔH_f (0 K) (eV/atom): -0.528
Crystal system: tetragonal

Cell and atoms, written as CIF:
```
data_Ti4IrOs2
_chemical_formula_sum 'Ti8 Ir2 Os4'
_space_group_name_H-M_alt 'I 4/m m m'
_space_group_IT_number 139
_space_group_name_Hall '-I 4 2'
_cell_length_a 6.122
_cell_length_b 6.122
_cell_length_c 6.161
_cell_angle_alpha 90.00
_cell_angle_beta 90.00
_cell_angle_gamma 90.00
loop_
_atom_site_label
_atom_site_type_symbol
_atom_site_fract_x
_atom_site_fract_y
_atom_site_fract_z
Ti1 Ti 0.250 0.250 0.250
Ir1 Ir 0.000 0.000 0.000
Os1 Os 0.000 0.500 0.000
```

***

The following is a PBE calculation of a geometry-optimized TmLuPaSn structure, from the Alexandria database.

Output
Electronic total energy (eV per atom): -5.59
Volume (Å³/cell): 414.4
ΔH_f (0 K) (eV/atom): 0.033
Crystal system: cubic

Cell and atoms, written as CIF:
```
data_TmLuPaSn
_chemical_formula_sum 'Tm4 Lu4 Pa4 Sn4'
_space_group_name_H-M_alt 'F -4 3 m'
_space_group_IT_number 216
_space_group_name_Hall 'F -4 2 3'
_cell_length_a 7.455
_cell_length_b 7.455
_cell_length_c 7.455
_cell_angle_alpha 90.00
_cell_angle_beta 90.00
_cell_angle_gamma 90.00
loop_
_atom_site_label
_atom_site_type_symbol
_atom_site_fract_x
_atom_site_fract_y
_atom_site_fract_z
Tm1 Tm 0.000 0.000 0.000
Lu1 Lu 0.000 0.000 0.500
Pa1 Pa 0.250 0.250 0.250
Sn1 Sn 0.250 0.250 0.750
```

***

The following is a PBE calculation of a geometry-optimized K4Pu3CuS8 structure, from the Alexandria database.

Output
Formation energy without anion corrections (meV/atom): -1305
Electronic total energy (eV per atom): -6.59
Volume (Å³/cell): 817.8
Crystal system: monoclinic

Cell and atoms, written as CIF:
```
data_K4Pu3CuS8
_chemical_formula_sum 'K8 Pu6 Cu2 S16'
_space_group_name_H-M_alt 'C 1 2/m 1'
_space_group_IT_number 12
_space_group_name_Hall '-C 2y'
_cell_length_a 14.067
_cell_length_b 7.963
_cell_length_c 8.652
_cell_angle_alpha 90.00
_cell_angle_beta 122.47
_cell_angle_gamma 90.00
loop_
_atom_site_label
_atom_site_type_symbol
_atom_site_fract_x
_atom_site_fract_y
_atom_site_fract_z
K1 K 0.000 0.000 0.000
K2 K 0.000 0.500 0.000
K3 K 0.250 0.250 0.000
Pu1 Pu 0.000 0.000 0.500
Pu2 Pu 0.250 0.250 0.500
Cu1 Cu 0.000 0.500 0.500
S1 S 0.020 0.258 0.311
S2 S 0.233 0.000 0.702
S3 S 0.242 0.500 0.703
```

***

The following is a PBE calculation of a geometry-optimized IrPb structure, from the Alexandria database.

Output
Electronic total energy (eV per atom): -5.78
Volume (Å³/cell): 746.5
ΔH_f (0 K) (eV/atom): 0.503
Crystal system: orthorhombic

Cell and atoms, written as CIF:
```
data_IrPb
_chemical_formula_sum 'Ir16 Pb16'
_space_group_name_H-M_alt 'F d d d'
_space_group_IT_number 70
_cell_length_a 6.488
_cell_length_b 8.449
_cell_length_c 13.618
_cell_angle_alpha 90.00
_cell_angle_beta 90.00
_cell_angle_gamma 90.00
loop_
_space_group_symop_operation_xyz
'x,y,z'
'-x,-y,-z'
'-x+1/4,-y+1/4,z'
'x+1/4,y+1/4,-z'
'x,-y+1/4,-z+1/4'
'-x,y+1/4,z+1/4'
'-x+1/4,y,-z+1/4'
'x+1/4,-y,z+1/4'
'x,y+1/2,z+1/2'
'-x,-y+1/2,-z+1/2'
'-x+1/4,-y+3/4,z+1/2'
'x+1/4,y+3/4,-z+1/2'
'x,-y+3/4,-z+3/4'
'-x,y+3/4,z+3/4'
'-x+1/4,y+1/2,-z+3/4'
'x+1/4,-y+1/2,z+3/4'
'x+1/2,y,z+1/2'
'-x+1/2,-y,-z+1/2'
'-x+3/4,-y+1/4,z+1/2'
'x+3/4,y+1/4,-z+1/2'
'x+1/2,-y+1/4,-z+3/4'
'-x+1/2,y+1/4,z+3/4'
'-x+3/4,y,-z+3/4'
'x+3/4,-y,z+3/4'
'x+1/2,y+1/2,z'
'-x+1/2,-y+1/2,-z'
'-x+3/4,-y+3/4,z'
'x+3/4,y+3/4,-z'
'x+1/2,-y+3/4,-z+1/4'
'-x+1/2,y+3/4,z+1/4'
'-x+3/4,y+1/2,-z+1/4'
'x+3/4,-y+1/2,z+1/4'
loop_
_atom_site_label
_atom_site_type_symbol
_atom_site_fract_x
_atom_site_fract_y
_atom_site_fract_z
Ir1 Ir 0.125 0.125 0.032
Pb1 Pb 0.125 0.312 0.625
```

***

The following is a PBE calculation of a geometry-optimized CaPm5S8 structure, from the Alexandria database.

Output
Formation energy without anion corrections (meV/atom): -2054
Electronic total energy (eV per atom): -6.25
Volume (Å³/cell): 619.9
Crystal system: tetragonal

Cell and atoms, written as CIF:
```
data_CaPm5S8
_chemical_formula_sum 'Ca2 Pm10 S16'
_space_group_name_H-M_alt 'I -4'
_space_group_IT_number 82
_space_group_name_Hall 'I -4'
_cell_length_a 8.518
_cell_length_b 8.518
_cell_length_c 8.544
_cell_angle_alpha 90.00
_cell_angle_beta 90.00
_cell_angle_gamma 90.00
loop_
_atom_site_label
_atom_site_type_symbol
_atom_site_fract_x
_atom_site_fract_y
_atom_site_fract_z
Ca1 Ca 0.000 0.000 0.000
Pm1 Pm 0.000 0.500 0.750
Pm2 Pm 0.126 0.750 0.371
S1 S 0.072 0.677 0.049
S2 S 0.075 0.822 0.693
```

***

The following is a PBE calculation of a geometry-optimized MgFe2Ni structure, from the Alexandria database.

Output
Electronic total energy (eV per atom): -5.88
Volume (Å³/cell): 155.1
ΔH_f (0 K) (eV/atom): 0.196
Crystal system: trigonal

Cell and atoms, written as CIF:
```
data_MgFe2Ni
_chemical_formula_sum 'Mg3 Fe6 Ni3'
_space_group_name_H-M_alt 'R 3 m'
_space_group_IT_number 160
_space_group_name_Hall 'R 3 -2"'
_cell_length_a 2.6482
_cell_length_b 2.6482
_cell_length_c 25.5370
_cell_angle_alpha 90.00
_cell_angle_beta 90.00
_cell_angle_gamma 120.00
loop_
_atom_site_label
_atom_site_type_symbol
_atom_site_fract_x
_atom_site_fract_y
_atom_site_fract_z
Mg1 Mg 0.0000 0.0000 0.0000
Fe1 Fe 0.0000 0.0000 0.2438
Fe2 Fe 0.0000 0.0000 0.4955
Ni1 Ni 0.0000 0.0000 0.7518
```

***

The following is a PBE calculation of a geometry-optimized LaPm3Sb4 structure, from the Alexandria database.

Output
Formation energy without anion corrections (meV/atom): -1208
Electronic total energy (eV per atom): -5.67
Volume (Å³/cell): 525.1
Crystal system: orthorhombic

Cell and atoms, written as CIF:
```
data_LaPm3Sb4
_chemical_formula_sum 'La2 Pm6 Sb8'
_space_group_name_H-M_alt 'C m m m'
_space_group_IT_number 65
_space_group_name_Hall '-C 2 2'
_cell_length_a 9.053
_cell_length_b 12.802
_cell_length_c 4.530
_cell_angle_alpha 90.00
_cell_angle_beta 90.00
_cell_angle_gamma 90.00
loop_
_atom_site_label
_atom_site_type_symbol
_atom_site_fract_x
_atom_site_fract_y
_atom_site_fract_z
La1 La 0.000 0.000 0.000
Pm1 Pm 0.000 0.500 0.000
Pm2 Pm 0.250 0.250 0.500
Sb1 Sb 0.000 0.252 0.000
Sb2 Sb 0.246 0.500 0.500
```

***

The following is a PBE calculation of a geometry-optimized SrVTePt2 structure, from the Alexandria database.

Output
Formation energy without anion corrections (meV/atom): 295
Electronic total energy (eV per atom): -4.91
Volume (Å³/cell): 135.4
Crystal system: tetragonal

Cell and atoms, written as CIF:
```
data_SrVTePt2
_chemical_formula_sum 'Sr1 V1 Te1 Pt2'
_space_group_name_H-M_alt 'P 4/m m m'
_space_group_IT_number 123
_space_group_name_Hall '-P 4 2'
_cell_length_a 4.691
_cell_length_b 4.691
_cell_length_c 6.154
_cell_angle_alpha 90.00
_cell_angle_beta 90.00
_cell_angle_gamma 90.00
loop_
_atom_site_label
_atom_site_type_symbol
_atom_site_fract_x
_atom_site_fract_y
_atom_site_fract_z
Sr1 Sr 0.000 0.000 0.000
V1 V 0.000 0.000 0.500
Te1 Te 0.500 0.500 0.000
Pt1 Pt 0.000 0.500 0.500
```

***

The following is a PBE calculation of a geometry-optimized SmCuPd structure, from the Alexandria database.

Output
Electronic total energy (eV per atom): -5.11
Volume (Å³/cell): 117.9
Polymorph energy (0 for the lowest one) (meV/atom): 124
ΔH_f (0 K) (eV/atom): -0.446
Crystal system: tetragonal

Cell and atoms, written as CIF:
```
data_SmCuPd
_chemical_formula_sum 'Sm2 Cu2 Pd2'
_space_group_name_H-M_alt 'I 4 m m'
_space_group_IT_number 107
_space_group_name_Hall 'I 4 -2'
_cell_length_a 3.610
_cell_length_b 3.610
_cell_length_c 9.046
_cell_angle_alpha 90.00
_cell_angle_beta 90.00
_cell_angle_gamma 90.00
loop_
_atom_site_label
_atom_site_type_symbol
_atom_site_fract_x
_atom_site_fract_y
_atom_site_fract_z
Sm1 Sm 0.000 0.000 0.000
Cu1 Cu 0.000 0.000 0.679
Pd1 Pd 0.000 0.000 0.326
```

***

The following is a PBE calculation of a geometry-optimized Cr3AsRh structure, from the Alexandria database.

Output
Electronic total energy (eV per atom): -7.11
Volume (Å³/cell): 97.0
ΔH_f (0 K) (eV/atom): 1.063
Crystal system: cubic

Cell and atoms, written as CIF:
```
data_Cr3AsRh
_chemical_formula_sum 'Cr3 As1 Rh1'
_space_group_name_H-M_alt 'P m -3 m'
_space_group_IT_number 221
_space_group_name_Hall '-P 4 2 3'
_cell_length_a 4.594
_cell_length_b 4.594
_cell_length_c 4.594
_cell_angle_alpha 90.00
_cell_angle_beta 90.00
_cell_angle_gamma 90.00
loop_
_atom_site_label
_atom_site_type_symbol
_atom_site_fract_x
_atom_site_fract_y
_atom_site_fract_z
Cr1 Cr 0.000 0.000 0.500
As1 As 0.000 0.000 0.000
Rh1 Rh 0.500 0.500 0.500
```

***

The following is a PBE calculation of a geometry-optimized TmRhI structure, from the Alexandria database.

Output
Formation energy without anion corrections (meV/atom): -713
Electronic total energy (eV per atom): -5.17
Volume (Å³/cell): 387.7
Crystal system: monoclinic

Cell and atoms, written as CIF:
```
data_TmRhI
_chemical_formula_sum 'Tm4 Rh4 I4'
_space_group_name_H-M_alt 'C 1 2/m 1'
_space_group_IT_number 12
_space_group_name_Hall '-C 2y'
_cell_length_a 9.499
_cell_length_b 3.863
_cell_length_c 11.037
_cell_angle_alpha 90.00
_cell_angle_beta 106.77
_cell_angle_gamma 90.00
loop_
_atom_site_label
_atom_site_type_symbol
_atom_site_fract_x
_atom_site_fract_y
_atom_site_fract_z
Tm1 Tm 0.090 0.000 0.397
Rh1 Rh 0.120 0.500 0.605
I1 I 0.191 0.000 0.164
```